Entry 1:
Computed, not measured: a relaxed HfTaAs2 crystal at the PBE level of DFT.

It has space group I-42d (No. 122), with a = 5.8736 Å, b = 5.8736 Å, c = 11.9095 Å, α = 90.00°, β = 90.00° and γ = 90.00°. The distinct sites, in fractional coordinates, are Hf at (0.0000, 0.0000, 0.0000), Ta at (0.0000, 0.0000, 0.5000) and As at (0.2367, 0.2500, 0.6250).

The calculation puts the energy relative to the elements at 0.099 eV per atom. The value obtained for the total magnetization is 0.000 μB per atom.

=====

Entry 2:
Computed, not measured: a relaxed La2CdAgAu crystal at the PBE level of DFT.

It has space group P4/mmm (No. 123), with a = 5.9224 Å, b = 5.9224 Å, c = 5.0427 Å, α = 90.00°, β = 90.00° and γ = 90.00°. The distinct sites, in fractional coordinates, are La at (0.0000, 0.5000, 0.0000), Cd at (0.0000, 0.0000, 0.0000), Ag at (0.5000, 0.5000, 0.5000) and Au at (0.0000, 0.0000, 0.5000).

The calculation puts the energy relative to the elements at 0.309 eV per atom. The value obtained for the total magnetization is 0.000 μB per atom.